No. 1
Compound: CrCo2Re
Source: the Alexandria database
Functional: GGA-PBE
Structure: relaxed

Lattice parameters (Å, degrees): 8.471 8.471 8.471 17.76 17.76 17.76
Fractional coordinates of all 4 atoms:
Cr 0.000 0.000 0.000
Co 0.256 0.256 0.256
Co 0.509 0.509 0.509
Re 0.757 0.757 0.757

Summary:
- Uncorrected energy: -8.855 eV/atom
- Calculated formation energy: 0.22 eV per atom
- Energy relative to the lowest polymorph listed for this composition: 0.94 eV/f.u.

***

No. 2
Compound: Cr3CoRe
Source: the Alexandria database
Functional: GGA-PBE
Structure: relaxed

Lattice parameters (Å, degrees): 4.130 4.130 4.130 90.00 90.00 90.00
Fractional coordinates of all 5 atoms:
Cr 0.000 0.000 0.500
Cr 0.000 0.500 0.000
Cr 0.500 0.000 0.000
Co 0.000 0.000 0.000
Re 0.500 0.500 0.500

Summary:
- Uncorrected energy: -8.358 eV/atom
- Calculated formation energy: 1.33 eV per atom
- Energy relative to the lowest polymorph listed for this composition: 0.00 eV/f.u.

***

Question: What is the energy relative to the lowest polymorph listed for this composition in the first record?
Answer: 0.94 eV/f.u.

***

Question: Among the records above, which one has the highest energy relative to the lowest polymorph listed for this composition?
Answer: CrCo2Re

***

Question: Among the records above, which one has the highest energy relative to the lowest polymorph listed for this composition?
Answer: CrCo2Re

***

Question: The highest energy relative to the lowest polymorph listed for this composition belongs to which entry?
Answer: CrCo2Re